Run 1
DFT (meta-GGA SCAN) results for a crystal of KSrP2 relaxed with PBEsol.

Properties
- Magnetization: 0.000 μB/f.u.

abc: 4.821 5.085 9.085
angles: 90.00 90.00 90.00
Space group Cmm2 (No. 35)
Inequivalent atoms, fractional coordinates:
K1 0.000 0.000 0.000 [2 per cell]
Sr1 0.000 0.500 0.575 [2 per cell]
P1 0.000 0.000 0.337 [2 per cell]
P2 0.000 0.500 0.265 [2 per cell]

---

Run 2
DFT (meta-GGA SCAN) results for a crystal of KSrP2 relaxed with PBEsol.

Properties
- Magnetization: 0.000 μB/f.u.

abc: 3.933 4.135 6.728
angles: 90.00 90.27 90.00
Space group P2/m (No. 10)
Inequivalent atoms, fractional coordinates:
K1 0.000 0.000 0.000 [1 per cell]
Sr1 0.000 0.000 0.500 [1 per cell]
P1 0.499 0.500 0.337 [2 per cell]

---

Energies relative to the minimum, meV per atom: run 1 627; run 2 0

---

Run 1
DFT (meta-GGA SCAN) results for a crystal of KTaP2 relaxed with PBEsol.

Properties
- Magnetization: 0.000 μB/f.u.

abc: 6.869 6.869 10.277
angles: 90.00 90.00 90.00
Space group I-42d (No. 122)
Inequivalent atoms, fractional coordinates:
K1 0.000 0.000 0.000 [4 per cell]
Ta1 0.000 0.000 0.500 [4 per cell]
P1 0.141 0.750 0.625 [8 per cell]

---

Run 2
DFT (meta-GGA SCAN) results for a crystal of KTaP2 relaxed with PBEsol.

Properties
- Magnetization: 0.000 μB/f.u.

abc: 3.874 3.874 9.437
angles: 90.00 90.00 90.00
Space group I-4m2 (No. 119)
Inequivalent atoms, fractional coordinates:
K1 0.000 0.000 0.000 [2 per cell]
Ta1 0.000 0.500 0.750 [2 per cell]
P1 0.000 0.000 0.500 [2 per cell]
P2 0.000 0.500 0.250 [2 per cell]

---

Energies relative to the minimum, meV per atom: run 1 0; run 2 1086

---

Run 1
DFT (meta-GGA SCAN) results for a crystal of KTcP2 relaxed with PBEsol.

Properties
- Magnetization: 0.000 μB/f.u.

abc: 2.952 2.952 7.756
angles: 90.00 90.00 90.00
Space group P4/mmm (No. 123)
Inequivalent atoms, fractional coordinates:
K1 0.000 0.000 0.000 [1 per cell]
Tc1 0.000 0.000 0.500 [1 per cell]
P1 0.500 0.500 0.318 [2 per cell]

---

Run 2
DFT (meta-GGA SCAN) results for a crystal of KTcP2 relaxed with PBEsol.

Properties
- Magnetization: 0.000 μB/f.u.

abc: 4.051 6.220 7.309
angles: 90.00 90.00 90.00
Space group Immm (No. 71)
Inequivalent atoms, fractional coordinates:
K1 0.000 0.000 0.000 [2 per cell]
Tc1 0.000 0.000 0.500 [2 per cell]
P1 0.000 0.500 0.152 [4 per cell]

---

Energies relative to the minimum, meV per atom: run 1 0; run 2 521